DFT (PBE) results for an optimized crystal structure of CrTeRuN2.

The value obtained for the polymorph energy (0 for the lowest one) is 102.2 meV per atom. The value obtained for the volume is 15.80 A^3/atom. As for the uncorrected formation energy: 4.6 eV/f.u. The calculation puts the size of the total moment at 0.22 μB per atom. The calculation puts the energy at -34.06 eV/cell.

The space group is P4/mmm (No. 123) and the conventional cell measures 3.7178, 3.7178 and 5.7164 Å, with angles of 90.00, 90.00 and 90.00 degrees. The asymmetric unit holds Cr at (0.0000, 0.0000, 0.0000), Te at (0.0000, 0.0000, 0.5000), Ru at (0.5000, 0.5000, 0.5000) and N at (0.0000, 0.5000, 0.0000).

***

DFT (PBE) results for an optimized crystal structure of HgPPb4.

The value obtained for the volume is 30.99 A^3/atom. The formation energy comes out at 0.499 eV/atom. The calculation puts the size of the total moment at 0.00 μB per atom. The calculation puts the energy at -70.21 eV/cell.

The space group is F-43m (No. 216) and the conventional cell measures 9.0605, 9.0605 and 9.0605 Å, with angles of 90.00, 90.00 and 90.00 degrees. The asymmetric unit holds Hg at (0.0000, 0.0000, 0.0000), P at (0.2500, 0.2500, 0.7500) and Pb at (0.1249, 0.1249, 0.3751).

***

DFT (PBE) results for an optimized crystal structure of La4PrCd5.

The value obtained for the volume is 30.28 A^3/atom. The formation energy comes out at -0.326 eV/atom. The calculation puts the size of the total moment at 0.17 μB per atom. The calculation puts the energy at -32.33 eV/cell.

The space group is P4/mmm (No. 123) and the conventional cell measures 3.9331, 3.9331 and 19.5716 Å, with angles of 90.00, 90.00 and 90.00 degrees. The asymmetric unit holds La at (0.0000, 0.0000, 0.1007), La at (0.0000, 0.0000, 0.3019), Pr at (0.0000, 0.0000, 0.5000), Cd at (0.5000, 0.5000, 0.0000), Cd at (0.5000, 0.5000, 0.2012) and Cd at (0.5000, 0.5000, 0.4031).